# PBEsol AlPCl4, optimized geometry
# DOS at the Fermi energy: 1.22 states/eV/atom
# formation energy from raw total energies: 5.10 eV/f.u.
data_AlPCl4
_space_group_name_H-M_alt 'F -4 3 m'
_space_group_IT_number 216
_space_group_name_Hall 'F -4 2 3'
_cell_length_a 8.058
_cell_length_b 8.058
_cell_length_c 8.058
_cell_angle_alpha 90.00
_cell_angle_beta 90.00
_cell_angle_gamma 90.00
loop_
_atom_site_label
_atom_site_fract_x
_atom_site_fract_y
_atom_site_fract_z
Al1 0.000 0.000 0.000
P1 0.250 0.250 0.750
Cl1 0.125 0.125 0.375

# PBEsol AlP2PtCl, optimized geometry
# E above lowest polymorph: 0.0 meV/atom
# DOS at the Fermi energy: 0.77 states/eV/atom
# formation energy from raw total energies: 2.60 eV/f.u.
data_AlP2PtCl
_space_group_name_H-M_alt 'P 4/m m m'
_space_group_IT_number 123
_space_group_name_Hall '-P 4 2'
_cell_length_a 4.597
_cell_length_b 4.597
_cell_length_c 4.983
_cell_angle_alpha 90.00
_cell_angle_beta 90.00
_cell_angle_gamma 90.00
loop_
_atom_site_label
_atom_site_fract_x
_atom_site_fract_y
_atom_site_fract_z
Al1 0.000 0.000 0.000
P1 0.000 0.500 0.500
Pt1 0.500 0.500 0.500
Cl1 0.500 0.500 0.000

# PBEsol AlP2PtCl, optimized geometry
# E above lowest polymorph: 148.7 meV/atom
# DOS at the Fermi energy: 0.48 states/eV/atom
# formation energy from raw total energies: 3.34 eV/f.u.
data_AlP2PtCl
_space_group_name_H-M_alt 'P 4/m m m'
_space_group_IT_number 123
_space_group_name_Hall '-P 4 2'
_cell_length_a 4.628
_cell_length_b 4.628
_cell_length_c 4.285
_cell_angle_alpha 90.00
_cell_angle_beta 90.00
_cell_angle_gamma 90.00
loop_
_atom_site_label
_atom_site_fract_x
_atom_site_fract_y
_atom_site_fract_z
Al1 0.000 0.000 0.000
P1 0.000 0.500 0.000
Pt1 0.500 0.500 0.500
Cl1 0.000 0.000 0.500

# PBEsol AlRePCl2, optimized geometry
# DOS at the Fermi energy: 0.25 states/eV/atom
# formation energy from raw total energies: 3.81 eV/f.u.
data_AlRePCl2
_space_group_name_H-M_alt 'P 4/m m m'
_space_group_IT_number 123
_space_group_name_Hall '-P 4 2'
_cell_length_a 4.409
_cell_length_b 4.409
_cell_length_c 5.101
_cell_angle_alpha 90.00
_cell_angle_beta 90.00
_cell_angle_gamma 90.00
loop_
_atom_site_label
_atom_site_fract_x
_atom_site_fract_y
_atom_site_fract_z
Al1 0.000 0.000 0.000
Re1 0.500 0.500 0.500
P1 0.000 0.000 0.500
Cl1 0.000 0.500 0.000